(1)
BaTaNi2 | PBE | optimized geometry

Cell: 3.228 3.260 7.552 Å, 90.00 90.40 90.00°
Atoms (fractional coordinates):
Ba 0.000 0.000 0.000
Ta 0.000 0.000 0.500
Ni 0.498 0.500 0.336
Ni 0.502 0.500 0.664

Calculated values
N(E_F), states/eV per cell: 2.5
Energy relative to the lowest polymorph listed for this composition, eV/atom: 0.000
Uncorrected energy, eV per cell: -25.04

(2)
BaTaNi2 | PBE | optimized geometry

Cell: 6.775 6.775 6.775 Å, 90.00 90.00 90.00°
Atoms (fractional coordinates):
Ba 0.000 0.000 0.000
Ba 0.000 0.500 0.500
Ba 0.500 0.000 0.500
Ba 0.500 0.500 0.000
Ta 0.000 0.000 0.500
Ta 0.000 0.500 0.000
Ta 0.500 0.000 0.000
Ta 0.500 0.500 0.500
Ni 0.250 0.250 0.250
Ni 0.250 0.250 0.750
Ni 0.250 0.750 0.250
Ni 0.250 0.750 0.750
Ni 0.750 0.250 0.250
Ni 0.750 0.250 0.750
Ni 0.750 0.750 0.250
Ni 0.750 0.750 0.750

Calculated values
N(E_F), states/eV per cell: 27.0
Energy relative to the lowest polymorph listed for this composition, eV/atom: 0.747
Uncorrected energy, eV per cell: -88.21

(3)
BaTa4Ni | PBE | optimized geometry

Cell: 5.666 5.666 5.666 Å, 60.00 60.00 60.00°
Atoms (fractional coordinates):
Ba 0.000 0.000 0.000
Ta 0.375 0.375 0.375
Ta 0.375 0.375 0.876
Ta 0.375 0.876 0.375
Ta 0.876 0.375 0.375
Ni 0.750 0.750 0.750

Calculated values
N(E_F), states/eV per cell: 7.2
Uncorrected energy, eV per cell: -49.32

(4)
Ba4TaNi | PBE | optimized geometry

Cell: 6.957 6.957 6.957 Å, 60.00 60.00 60.00°
Atoms (fractional coordinates):
Ba 0.125 0.125 0.125
Ba 0.125 0.125 0.625
Ba 0.125 0.625 0.125
Ba 0.625 0.125 0.125
Ta 0.500 0.500 0.500
Ni 0.750 0.750 0.750

Calculated values
N(E_F), states/eV per cell: 9.0
Uncorrected energy, eV per cell: -16.70

(5)
BaTaNi2 | PBE | optimized geometry

Cell: 7.329 7.329 7.064 Å, 90.00 90.00 90.00°
Atoms (fractional coordinates):
Ba 0.000 0.000 0.000
Ba 0.000 0.500 0.250
Ba 0.500 0.000 0.750
Ba 0.500 0.500 0.500
Ta 0.000 0.000 0.500
Ta 0.000 0.500 0.750
Ta 0.500 0.000 0.250
Ta 0.500 0.500 0.000
Ni 0.170 0.250 0.625
Ni 0.250 0.670 0.875
Ni 0.250 0.830 0.375
Ni 0.330 0.250 0.125
Ni 0.670 0.750 0.125
Ni 0.750 0.170 0.375
Ni 0.750 0.330 0.875
Ni 0.830 0.750 0.625

Calculated values
N(E_F), states/eV per cell: 28.1
Energy relative to the lowest polymorph listed for this composition, eV/atom: 0.578
Uncorrected energy, eV per cell: -90.92

(6)
Ba3TaNi | PBE | optimized geometry

Cell: 5.882 5.882 5.882 Å, 90.00 90.00 90.00°
Atoms (fractional coordinates):
Ba 0.000 0.000 0.500
Ba 0.000 0.500 0.000
Ba 0.500 0.000 0.000
Ta 0.500 0.500 0.500
Ni 0.000 0.000 0.000

Calculated values
N(E_F), states/eV per cell: 2.9
Uncorrected energy, eV per cell: -18.63

no.,formation energy (meV per atom)
1,74
2,821
3,966
4,1438
5,652
6,954